No. 1
Material: HfZrO
Method: DFT, GGA-PBE
State: optimized geometry

The structure belongs to space group P2_1/c (No. 14); the cell edges are 6.063, 5.754 and 6.060 Å and the angles 90.00°, 116.27° and 90.00°. The asymmetric unit holds Hf at (0.130, 0.161, 0.370), Zr at (0.369, 0.658, 0.632) and O at (0.240, 0.004, 0.743).

As for the total magnetization: 0.000 μB/atom. As for the formation energy (no corrections): -1767 meV per atom. For the calculated density, the calculation gives 10.01 g cm⁻³. For the density of states at the Fermi level, the calculation gives 0.390 states/eV per atom.

No. 2
Material: HfZrO
Method: DFT, GGA-PBE
State: optimized geometry

The structure belongs to space group P2_1/c (No. 14); the cell edges are 5.583, 5.190 and 6.543 Å and the angles 90.00°, 90.42° and 90.00°. The asymmetric unit holds Hf at (0.081, 0.241, 0.375), Zr at (0.418, 0.746, 0.874) and O at (0.240, 0.003, 0.121).

As for the total magnetization: 0.000 μB/atom. As for the formation energy (no corrections): -1780 meV per atom. For the calculated density, the calculation gives 10.01 g cm⁻³. For the density of states at the Fermi level, the calculation gives 0.414 states/eV per atom.

No. 3
Material: HfZrO2
Method: DFT, GGA-PBE
State: optimized geometry

The structure belongs to space group Fm-3m (No. 225); the cell edges are 5.726, 5.726 and 5.726 Å and the angles 90.00°, 90.00° and 90.00°. The asymmetric unit holds Hf at (0.000, 0.000, 0.000), Zr at (0.000, 0.000, 0.500) and O at (0.250, 0.250, 0.250).

As for the total magnetization: 0.000 μB/atom. As for the formation energy (no corrections): -1649 meV per atom. For the calculated density, the calculation gives 10.68 g cm⁻³. For the density of states at the Fermi level, the calculation gives 0.259 states/eV per atom.